(1)
Entry from Alexandria: a relaxed VIn3Pb crystal (PBE-GGA). Values from VASP.

Structure (Quantum ESPRESSO input):
```
&SYSTEM
  ibrav = 0, nat = 5, ntyp = 3
/
ATOMIC_SPECIES
Pb 207.20 Pb.upf
V 50.94 V.upf
In 114.82 In.upf
ATOMIC_POSITIONS angstrom
Pb -4.4742 0.5471 -0.3799
V 0.0000 0.0000 0.0000
In -1.2981 2.2074 0.5130
In -1.3738 -0.2963 -2.2012
In -1.8023 -1.3639 1.3084
CELL_PARAMETERS angstrom
-2.7476 -0.5926 -4.4025
-3.6046 -2.7279 2.6168
-2.5961 4.4147 1.0259
```

- Symmetry: Pm-3m, No. 221
- ΔE to the lowest computed polymorph: 0.000 eV per atom
- Calculated formation energy: 0.444 eV per atom

=====

(2)
Entry from Alexandria: a relaxed CuBi2WI crystal (PBE-GGA). Values from VASP.

Structure (Quantum ESPRESSO input):
```
&SYSTEM
  ibrav = 0, nat = 5, ntyp = 4
/
ATOMIC_SPECIES
Bi 208.98 Bi.upf
I 126.90 I.upf
W 183.84 W.upf
Cu 63.55 Cu.upf
ATOMIC_POSITIONS angstrom
Bi 0.0000 0.0000 2.6286
Bi 2.6286 0.0000 0.0000
I 2.6286 2.5597 2.6286
W 0.0000 2.5597 0.0000
Cu 0.0000 0.0000 0.0000
CELL_PARAMETERS angstrom
5.2572 0.0000 0.0000
0.0000 5.1194 0.0000
0.0000 0.0000 5.2572
```

- Symmetry: P4/mmm, No. 123
- Formation energy without anion corrections: 1.25 eV per atom

=====

For reference, total magnetic moment by record: 0.28, 3.51 Bohr magnetons per cell.